Entry 1:
This record from Alexandria via LeMat-Bulk describes crystalline SrBeCuGe2 at its relaxed geometry. The functional is GGA-PBE.

The crystal system is tetragonal.

a = 4.1841 Å, b = 4.1841 Å, c = 5.9728 Å
α = 110.50°, β = 110.50°, γ = 90.00°
Positions (direct):
Ge: 0.6268 0.6268 0.2537
Be: 0.7500 0.2500 0.5000
Sr: 0.0000 0.0000 0.0000
Cu: 0.2500 0.7500 0.5000
Ge: 0.3732 0.3732 0.7463


Entry 2:
This record from Alexandria via LeMat-Bulk describes crystalline Tb2BeCu3Ge4 at its relaxed geometry. The functional is GGA-PBE.

The crystal system is tetragonal.

a = 4.0343 Å, b = 4.0343 Å, c = 10.3580 Å
α = 90.00°, β = 90.00°, γ = 90.00°
Positions (direct):
Ge: 0.5000 0.5000 0.0000
Ge: 0.0000 0.0000 0.0000
Cu: 0.0000 0.0000 0.5000
Be: 0.5000 0.5000 0.5000
Ge: 0.0000 0.5000 0.3690
Tb: 0.5000 0.0000 0.2571
Cu: 0.0000 0.5000 0.1407
Tb: 0.0000 0.5000 0.7429
Cu: 0.5000 0.0000 0.8593
Ge: 0.5000 0.0000 0.6310


Entry 3:
This record from Alexandria via LeMat-Bulk describes crystalline Tb2Be3Cu12Ge at its relaxed geometry. The functional is GGA-PBE.

The crystal system is trigonal.

a = 7.2845 Å, b = 7.2845 Å, c = 7.2845 Å
α = 62.11°, β = 62.11°, γ = 62.11°
Positions (direct):
Be: 0.5000 0.0000 0.0000
Cu: 0.3389 0.8983 0.3389
Cu: 0.8733 0.3912 0.8733
Cu: 0.8733 0.8733 0.3912
Cu: 0.3389 0.3389 0.8983
Ge: 0.0000 0.0000 0.0000
Cu: 0.1017 0.6611 0.6611
Cu: 0.6611 0.6611 0.1017
Be: 0.0000 0.0000 0.5000
Cu: 0.1267 0.1267 0.6088
Cu: 0.3912 0.8733 0.8733
Cu: 0.8983 0.3389 0.3389
Tb: 0.3977 0.3977 0.3977
Be: 0.0000 0.5000 0.0000
Tb: 0.6023 0.6023 0.6023
Cu: 0.6611 0.1017 0.6611
Cu: 0.6088 0.1267 0.1267
Cu: 0.1267 0.6088 0.1267


Entry 4:
This record from Alexandria via LeMat-Bulk describes crystalline Th2Be3CuGe4 at its relaxed geometry. The functional is GGA-PBE.

The crystal system is tetragonal.

a = 4.2562 Å, b = 4.2562 Å, c = 9.2807 Å
α = 90.00°, β = 90.00°, γ = 90.00°
Positions (direct):
Ge: 0.5000 0.0000 0.6358
Ge: 0.0000 0.0000 0.0000
Cu: 0.5000 0.5000 0.5000
Ge: 0.5000 0.5000 0.0000
Th: 0.0000 0.5000 0.7491
Ge: 0.0000 0.5000 0.3642
Be: 0.5000 0.0000 0.8825
Be: 0.0000 0.5000 0.1175
Th: 0.5000 0.0000 0.2509
Be: 0.0000 0.0000 0.5000


Entry 5:
This record from Alexandria via LeMat-Bulk describes crystalline Th2BeCu3Ge4 at its relaxed geometry. The functional is GGA-PBE.

The crystal system is tetragonal.

a = 4.2162 Å, b = 4.2162 Å, c = 9.8959 Å
α = 90.00°, β = 90.00°, γ = 90.00°
Positions (direct):
Cu: 0.5000 0.0000 0.8679
Ge: 0.5000 0.5000 0.0000
Th: 0.5000 0.0000 0.2551
Ge: 0.0000 0.5000 0.3732
Ge: 0.5000 0.0000 0.6268
Cu: 0.0000 0.5000 0.1321
Th: 0.0000 0.5000 0.7449
Be: 0.5000 0.5000 0.5000
Cu: 0.0000 0.0000 0.5000
Ge: 0.0000 0.0000 0.0000


Entry 6:
This record from Alexandria via LeMat-Bulk describes crystalline BeCuGeW2 at its relaxed geometry. The functional is GGA-PBE.

The crystal system is tetragonal.

a = 4.6426 Å, b = 4.2574 Å, c = 4.6426 Å
α = 90.00°, β = 90.00°, γ = 90.00°
Positions (direct):
Cu: 0.0000 0.5000 0.0000
W: 0.0000 0.0000 0.5000
Ge: 0.0000 0.0000 0.0000
Be: 0.5000 0.5000 0.5000
W: 0.5000 0.0000 0.0000


Entry 7:
This record from Alexandria via LeMat-Bulk describes crystalline Y2Be3CuGe4 at its relaxed geometry. The functional is GGA-PBE.

The crystal system is tetragonal.

a = 4.0638 Å, b = 4.0638 Å, c = 9.7142 Å
α = 90.00°, β = 90.00°, γ = 90.00°
Positions (direct):
Y: 0.0000 0.5000 0.7520
Be: 0.5000 0.0000 0.8716
Be: 0.0000 0.5000 0.1284
Cu: 0.5000 0.5000 0.5000
Ge: 0.0000 0.0000 0.0000
Ge: 0.5000 0.5000 0.0000
Y: 0.5000 0.0000 0.2480
Ge: 0.5000 0.0000 0.6397
Be: 0.0000 0.0000 0.5000
Ge: 0.0000 0.5000 0.3603


Entry 8:
This record from Alexandria via LeMat-Bulk describes crystalline Y2Be3Cu12Ge at its relaxed geometry. The functional is GGA-PBE.

The crystal system is trigonal.

a = 7.2875 Å, b = 7.2875 Å, c = 7.2875 Å
α = 62.11°, β = 62.11°, γ = 62.11°
Positions (direct):
Ge: 0.0000 0.0000 0.0000
Y: 0.6022 0.6022 0.6022
Cu: 0.8738 0.3908 0.8738
Cu: 0.1262 0.1262 0.6092
Cu: 0.6092 0.1262 0.1262
Cu: 0.1262 0.6092 0.1262
Cu: 0.3380 0.8985 0.3380
Cu: 0.3908 0.8738 0.8738
Cu: 0.3380 0.3380 0.8985
Cu: 0.8985 0.3380 0.3380
Be: 0.0000 0.0000 0.5000
Be: 0.0000 0.5000 0.0000
Cu: 0.6620 0.1015 0.6620
Be: 0.5000 0.0000 0.0000
Y: 0.3978 0.3978 0.3978
Cu: 0.6620 0.6620 0.1015
Cu: 0.8738 0.8738 0.3908
Cu: 0.1015 0.6620 0.6620


Entry 9:
This record from Alexandria via LeMat-Bulk describes crystalline BeCu3H at its relaxed geometry. The functional is GGA-PBE.

The crystal system is cubic.

a = 3.6197 Å, b = 3.6197 Å, c = 3.6197 Å
α = 90.00°, β = 90.00°, γ = 90.00°
Positions (direct):
Cu: 0.0000 0.5000 0.0000
Cu: 0.5000 0.0000 0.0000
H: 0.0000 0.0000 0.0000
Be: 0.5000 0.5000 0.5000
Cu: 0.0000 0.0000 0.5000


Entry 10:
This record from Alexandria via LeMat-Bulk describes crystalline BeCu2H at its relaxed geometry. The functional is GGA-PBE.

The crystal system is tetragonal.

a = 5.4997 Å, b = 5.4997 Å, c = 4.5633 Å
α = 52.94°, β = 52.94°, γ = 90.00°
Positions (direct):
Be: 0.0000 0.0000 0.0000
H: 0.5000 0.5000 0.0000
H: 0.2500 0.7500 0.5000
Cu: 0.5461 0.1250 0.2500
Cu: 0.2039 0.6250 0.2500
Cu: 0.8750 0.7961 0.7500
Cu: 0.3750 0.4539 0.7500
Be: 0.7500 0.2500 0.5000


Entry 11:
This record from Alexandria via LeMat-Bulk describes crystalline BeCu2H at its relaxed geometry. The functional is GGA-PBE.

The crystal system is trigonal.

a = 2.5216 Å, b = 2.5216 Å, c = 6.9862 Å
α = 79.60°, β = 79.60°, γ = 60.00°
Positions (direct):
H: 0.5000 0.5000 0.5000
Cu: 0.8935 0.8935 0.3196
Be: 0.0000 0.0000 0.0000
Cu: 0.1065 0.1065 0.6804


Entry 12:
This record from Alexandria via LeMat-Bulk describes crystalline BeCu2H at its relaxed geometry. The functional is GGA-PBE.

The crystal system is cubic.

a = 3.7286 Å, b = 3.7286 Å, c = 3.7286 Å
α = 60.00°, β = 60.00°, γ = 60.00°
Positions (direct):
H: 0.0000 0.0000 0.0000
Cu: 0.2500 0.2500 0.2500
Be: 0.5000 0.5000 0.5000
Cu: 0.7500 0.7500 0.7500


Entry 13:
This record from Alexandria via LeMat-Bulk describes crystalline BeCuH2 at its relaxed geometry. The functional is GGA-PBE.

The crystal system is cubic.

a = 3.4013 Å, b = 3.4013 Å, c = 3.4013 Å
α = 60.00°, β = 60.00°, γ = 60.00°
Positions (direct):
H: 0.7500 0.7500 0.7500
H: 0.2500 0.2500 0.2500
Cu: 0.5000 0.5000 0.5000
Be: 0.0000 0.0000 0.0000


Entry 14:
This record from Alexandria via LeMat-Bulk describes crystalline BeCuH3 at its relaxed geometry. The functional is GGA-PBE.

The crystal system is cubic.

a = 3.1799 Å, b = 3.1799 Å, c = 3.1799 Å
α = 90.00°, β = 90.00°, γ = 90.00°
Positions (direct):
H: 0.0000 0.5000 0.0000
H: 0.5000 0.0000 0.0000
Be: 0.0000 0.0000 0.0000
H: 0.0000 0.0000 0.5000
Cu: 0.5000 0.5000 0.5000


Entry 15:
This record from Alexandria via LeMat-Bulk describes crystalline BeCuH at its relaxed geometry. The functional is GGA-PBE.

The crystal system is orthorhombic.

a = 2.6250 Å, b = 3.7429 Å, c = 4.8673 Å
α = 90.00°, β = 90.05°, γ = 90.00°
Positions (direct):
Be: 0.2501 0.2500 0.0494
Be: 0.7499 0.7500 0.9506
Cu: 0.2504 0.7501 0.3389
Cu: 0.7496 0.2499 0.6611
H: 0.2500 0.2501 0.3820
H: 0.7500 0.7499 0.6180


Entry 16:
This record from Alexandria via LeMat-Bulk describes crystalline BeCuH3 at its relaxed geometry. The functional is GGA-PBE.

The crystal system is cubic.

a = 3.3044 Å, b = 3.3044 Å, c = 3.3044 Å
α = 90.00°, β = 90.00°, γ = 90.00°
Positions (direct):
Cu: 0.0000 0.0000 0.0000
Be: 0.5000 0.5000 0.5000
H: 0.0000 0.0000 0.5000
H: 0.5000 0.0000 0.0000
H: 0.0000 0.5000 0.0000


Entry 17:
This record from Alexandria via LeMat-Bulk describes crystalline BeCuH2 at its relaxed geometry. The functional is GGA-PBE.

The crystal system is tetragonal.

a = 3.8734 Å, b = 3.8734 Å, c = 4.7413 Å
α = 65.89°, β = 65.89°, γ = 90.00°
Positions (direct):
H: 0.5876 0.1250 0.2500
Be: 0.5000 0.5000 0.0000
Be: 0.2500 0.7500 0.5000
Cu: 0.7500 0.2500 0.5000
H: 0.3750 0.4124 0.7500
H: 0.1624 0.6250 0.2500
Cu: 0.0000 0.0000 0.0000
H: 0.8750 0.8376 0.7500


Entry 18:
This record from Alexandria via LeMat-Bulk describes crystalline KBeCu2H at its relaxed geometry. The functional is GGA-PBE.

The crystal system is tetragonal.

a = 5.9727 Å, b = 6.6865 Å, c = 5.9727 Å
α = 90.00°, β = 90.00°, γ = 90.00°
Positions (direct):
Cu: 0.0000 0.0000 0.5000
H: 0.5000 0.5000 0.5000
Be: 0.0000 0.5000 0.0000
Cu: 0.5000 0.0000 0.0000
K: 0.0000 0.0000 0.0000


Entry 19:
This record from Alexandria via LeMat-Bulk describes crystalline Li2BeCuH6 at its relaxed geometry. The functional is GGA-PBE.

The crystal system is tetragonal.

a = 4.1682 Å, b = 4.1684 Å, c = 5.1900 Å
α = 113.70°, β = 113.70°, γ = 89.99°
Positions (direct):
H: 0.7304 0.7309 0.4611
H: 0.2109 0.7305 0.9411
Li: 0.2974 0.7977 0.5950
H: 0.2086 0.2091 0.4168
Li: 0.7971 0.2980 0.5950
H: 0.7304 0.7309 0.9415
Be: 0.0418 0.0423 0.0830
H: 0.2109 0.2114 0.9409
Cu: 0.5413 0.5418 0.0826
H: 0.7300 0.2114 0.9410


Entry 20:
This record from Alexandria via LeMat-Bulk describes crystalline BeNbCuH2 at its relaxed geometry. The functional is GGA-PBE.

The crystal system is tetragonal.

a = 3.3820 Å, b = 4.1333 Å, c = 3.3820 Å
α = 90.00°, β = 90.00°, γ = 90.00°
Positions (direct):
Nb: 0.5000 0.5000 0.5000
Cu: 0.0000 0.0000 0.0000
H: 0.5000 0.0000 0.0000
Be: 0.0000 0.5000 0.0000
H: 0.0000 0.0000 0.5000


Entry 21:
This record from Alexandria via LeMat-Bulk describes crystalline BeCu2NiH at its relaxed geometry. The functional is GGA-PBE.

The crystal system is tetragonal.

a = 3.6358 Å, b = 3.6358 Å, c = 3.4560 Å
α = 90.00°, β = 90.00°, γ = 90.00°
Positions (direct):
Be: 0.5000 0.5000 0.5000
H: 0.0000 0.0000 0.0000
Cu: 0.5000 0.0000 0.0000
Cu: 0.0000 0.5000 0.0000
Ni: 0.0000 0.0000 0.5000


Entry 22:
This record from Alexandria via LeMat-Bulk describes crystalline Be2CuNiH at its relaxed geometry. The functional is GGA-PBE.

The crystal system is tetragonal.

a = 3.6193 Å, b = 3.6193 Å, c = 3.1341 Å
α = 90.00°, β = 90.00°, γ = 90.00°
Positions (direct):
Be: 0.5000 0.0000 0.0000
Ni: 0.0000 0.0000 0.5000
Be: 0.0000 0.5000 0.0000
H: 0.0000 0.0000 0.0000
Cu: 0.5000 0.5000 0.5000


Entry 23:
This record from Alexandria via LeMat-Bulk describes crystalline BeCuH2Pb at its relaxed geometry. The functional is GGA-PBE.

The crystal system is tetragonal.

a = 3.6195 Å, b = 5.5134 Å, c = 3.6195 Å
α = 90.00°, β = 90.00°, γ = 90.00°
Positions (direct):
Cu: 0.5000 0.5000 0.5000
H: 0.5000 0.0000 0.0000
H: 0.0000 0.0000 0.5000
Be: 0.0000 0.0000 0.0000
Pb: 0.0000 0.5000 0.0000


Entry 24:
This record from Alexandria via LeMat-Bulk describes crystalline BeCuHPd2 at its relaxed geometry. The functional is GGA-PBE.

The crystal system is tetragonal.

a = 3.9343 Å, b = 3.9343 Å, c = 3.4557 Å
α = 90.00°, β = 90.00°, γ = 90.00°
Positions (direct):
Cu: 0.0000 0.0000 0.5000
H: 0.0000 0.0000 0.0000
Pd: 0.5000 0.0000 0.0000
Pd: 0.0000 0.5000 0.0000
Be: 0.5000 0.5000 0.5000


Entry 25:
This record from Alexandria via LeMat-Bulk describes crystalline BeCuHPd2 at its relaxed geometry. The functional is GGA-PBE.

The crystal system is tetragonal.

a = 3.9568 Å, b = 3.9568 Å, c = 3.4587 Å
α = 90.00°, β = 90.00°, γ = 90.00°
Positions (direct):
H: 0.0000 0.0000 0.0000
Pd: 0.5000 0.0000 0.0000
Be: 0.0000 0.0000 0.5000
Cu: 0.5000 0.5000 0.5000
Pd: 0.0000 0.5000 0.0000


| no. | uncorrected energy (eV per atom) | theoretical density (kg/m³) |
| --- | --- | --- |
| 1 | -4.05 | 5584 |
| 2 | -4.83 | 7960 |
| 3 | -3.83 | 6846 |
| 4 | -5.22 | 8348 |
| 5 | -5.37 | 9008 |
| 6 | -5.94 | 9281 |
| 7 | -5.04 | 5786 |
| 8 | -4.03 | 6026 |
| 9 | -3.75 | 7026 |
| 10 | -3.56 | 6305 |
| 11 | -3.46 | 6051 |
| 12 | -3.32 | 6212 |
| 13 | -2.93 | 4450 |
| 14 | -3.10 | 3903 |
| 15 | -3.60 | 5109 |
| 16 | -2.90 | 3478 |
| 17 | -3.29 | 4265 |
| 18 | -1.16 | 1227 |
| 19 | -3.26 | 2070 |
| 20 | -4.46 | 5883 |
| 21 | -4.21 | 7117 |
| 22 | -4.21 | 5714 |
| 23 | -2.95 | 6478 |
| 24 | -4.50 | 8892 |
| 25 | -4.44 | 8783 |